Computed, not measured: a geometry-optimized Ba2NiRu3O12 structure at the PBE+U level of DFT.

Lattice parameters (Å, degrees): 6.9608 6.9608 6.9608 62.82 62.82 62.82
Last column: nearest neighbours and their distance in Å.
Positions (direct):
Ba 0.1306 0.1306 0.1306  6 O 2.88-3.12
Ba 0.8694 0.8694 0.8694  6 O 2.88-3.12
Ni 0.5000 0.5000 0.5000  6 O 2.00
Ru 0.0000 0.5000 0.5000  6 O 1.87-1.95
Ru 0.5000 0.0000 0.5000  6 O 1.87-1.95
Ru 0.5000 0.5000 0.0000  6 O 1.87-1.95
O 0.1632 0.5836 0.5836  1 Ru 1.87, 1 Ni 2.00
O 0.1797 0.1797 0.5779  2 Ru 1.95
O 0.1797 0.5779 0.1797  2 Ru 1.95
O 0.4164 0.4164 0.8368  1 Ru 1.87, 1 Ni 2.00
O 0.4164 0.8368 0.4164  1 Ru 1.87, 1 Ni 2.00
O 0.4221 0.8203 0.8203  2 Ru 1.95
O 0.5779 0.1797 0.1797  2 Ru 1.95
O 0.5836 0.1632 0.5836  1 Ru 1.87, 1 Ni 2.00
O 0.5836 0.5836 0.1632  1 Ru 1.87, 1 Ni 2.00
O 0.8203 0.4221 0.8203  2 Ru 1.95
O 0.8203 0.8203 0.4221  2 Ru 1.95
O 0.8368 0.4164 0.4164  1 Ru 1.87, 1 Ni 2.00

The value obtained for the density of states at the Fermi level is 12.42 states/eV/f.u. The value obtained for the total energy is -6.443 eV per atom. Its space group is No. 166.